(1)
# Rb2ZrBiI6

An optimized crystal structure of Rb2ZrBiI6 (PBE, Alexandria via LeMat-Bulk).

Lattice parameters (Å, degrees): 9.172 9.172 9.172 124.41 124.41 82.52
Atoms (fractional coordinates):
1 Rb 0.250 0.750 0.500
2 Rb 0.750 0.250 0.500
3 Zr 0.000 0.000 0.000
4 Bi 0.500 0.500 0.000
5 I 0.213 0.213 0.000
6 I 0.241 0.241 0.481
7 I 0.241 0.759 0.000
8 I 0.759 0.241 0.000
9 I 0.759 0.759 0.519
10 I 0.787 0.787 0.000

## Properties
crystal system: tetragonal
calculated total energy: -3.139 eV/atom



(2)
# ReBiI3

An optimized crystal structure of ReBiI3 (PBE, Alexandria via LeMat-Bulk).

Lattice parameters (Å, degrees): 5.431 5.431 5.431 90.00 90.00 90.00
Atoms (fractional coordinates):
1 Re 0.000 0.000 0.000
2 Bi 0.500 0.500 0.500
3 I 0.000 0.000 0.500
4 I 0.000 0.500 0.000
5 I 0.500 0.000 0.000

## Properties
crystal system: cubic
energy relative to the lowest polymorph listed for this composition: 0 meV/atom
calculated total energy: -3.403 eV/atom



(3)
# Re2BiI

An optimized crystal structure of Re2BiI (PBE, Alexandria via LeMat-Bulk).

Lattice parameters (Å, degrees): 6.753 6.753 6.753 90.00 90.00 90.00
Atoms (fractional coordinates):
1 Re 0.250 0.250 0.250
2 Re 0.250 0.250 0.750
3 Re 0.250 0.750 0.250
4 Re 0.250 0.750 0.750
5 Re 0.750 0.250 0.250
6 Re 0.750 0.250 0.750
7 Re 0.750 0.750 0.250
8 Re 0.750 0.750 0.750
9 Bi 0.000 0.000 0.000
10 Bi 0.000 0.500 0.500
11 Bi 0.500 0.000 0.500
12 Bi 0.500 0.500 0.000
13 I 0.000 0.000 0.500
14 I 0.000 0.500 0.000
15 I 0.500 0.000 0.000
16 I 0.500 0.500 0.500

## Properties
crystal system: cubic
energy relative to the lowest polymorph listed for this composition: 0 meV/atom
calculated total energy: -6.106 eV/atom



(4)
# ReBiI2

An optimized crystal structure of ReBiI2 (PBE, Alexandria via LeMat-Bulk).

Lattice parameters (Å, degrees): 7.378 7.378 7.378 90.00 90.00 90.00
Atoms (fractional coordinates):
1 Re 0.000 0.000 0.000
2 Re 0.000 0.500 0.500
3 Re 0.500 0.000 0.500
4 Re 0.500 0.500 0.000
5 Bi 0.000 0.000 0.500
6 Bi 0.000 0.500 0.000
7 Bi 0.500 0.000 0.000
8 Bi 0.500 0.500 0.500
9 I 0.250 0.250 0.250
10 I 0.250 0.250 0.750
11 I 0.250 0.750 0.250
12 I 0.250 0.750 0.750
13 I 0.750 0.250 0.250
14 I 0.750 0.250 0.750
15 I 0.750 0.750 0.250
16 I 0.750 0.750 0.750

## Properties
crystal system: cubic
energy relative to the lowest polymorph listed for this composition: 817 meV/atom
calculated total energy: -3.429 eV/atom



(5)
# Re2BiI

An optimized crystal structure of Re2BiI (PBE, Alexandria via LeMat-Bulk).

Lattice parameters (Å, degrees): 6.178 6.178 11.657 90.00 90.00 90.00
Atoms (fractional coordinates):
1 Re 0.230 0.250 0.125
2 Re 0.250 0.730 0.375
3 Re 0.250 0.770 0.875
4 Re 0.270 0.250 0.625
5 Re 0.730 0.750 0.625
6 Re 0.750 0.230 0.875
7 Re 0.750 0.270 0.375
8 Re 0.770 0.750 0.125
9 Bi 0.000 0.000 0.500
10 Bi 0.000 0.500 0.750
11 Bi 0.500 0.000 0.250
12 Bi 0.500 0.500 0.000
13 I 0.000 0.000 0.000
14 I 0.000 0.500 0.250
15 I 0.500 0.000 0.750
16 I 0.500 0.500 0.500

## Properties
crystal system: tetragonal
energy relative to the lowest polymorph listed for this composition: 374 meV/atom
calculated total energy: -5.731 eV/atom



(6)
# Re3BiI

An optimized crystal structure of Re3BiI (PBE, Alexandria via LeMat-Bulk).

Lattice parameters (Å, degrees): 4.884 4.884 4.884 90.00 90.00 90.00
Atoms (fractional coordinates):
1 Re 0.000 0.000 0.500
2 Re 0.000 0.500 0.000
3 Re 0.500 0.000 0.000
4 Bi 0.500 0.500 0.500
5 I 0.000 0.000 0.000

## Properties
crystal system: cubic
energy relative to the lowest polymorph listed for this composition: 0 meV/atom
calculated total energy: -5.897 eV/atom



One value per record, in order, for ΔE_f (raw): -773, 792, 1476, 1429, 1850, 2658 meV/atom.